CoTe | PBE | relaxed

space-group type: Cmcm, No. 63
total energy: -5.048 eV per atom
ΔE_f (raw): 15 kJ/mol of formula units
size of the total moment: 0.001 μB/atom

Unit cell a=4.5466 b=4.8152 c=4.3011 alpha=90.00 beta=121.91 gamma=90.00
With the nearest neighbours (Å) after each atom.
Fractional positions:
Te (0.2647, 0.7500, 0.0293)  5 Co 2.47-2.59
Te (0.7353, 0.2500, 0.9707)  5 Co 2.47-2.59
Co (0.6033, 0.7500, 0.7066)  5 Te 2.47-2.59
Co (0.3967, 0.2500, 0.2934)  5 Te 2.47-2.59

---

CoTe | PBE | relaxed

space-group type: I4_1/amd, No. 141
total energy: -4.560 eV per atom
ΔE_f (raw): 109 kJ/mol of formula units
size of the total moment: 0.402 μB/atom

Unit cell a=5.7382 b=5.7382 c=5.7382 alpha=141.80 beta=141.80 gamma=55.12
With the nearest neighbours (Å) after each atom.
Fractional positions:
Co (0.0000, 0.0000, 0.0000)  4 Te 2.66
Co (0.2500, 0.7500, 0.5000)  4 Te 2.66
Te (0.5000, 0.5000, 0.0000)  4 Co 2.66
Te (0.7500, 0.2500, 0.5000)  4 Co 2.66

---

CoTe | PBE | relaxed

space-group type: Cm, No. 8
total energy: -5.026 eV per atom
ΔE_f (raw): 19 kJ/mol of formula units
size of the total moment: 0.397 μB/atom

Unit cell a=6.9382 b=6.9382 c=5.4949 alpha=67.21 beta=67.21 gamma=31.94
With the nearest neighbours (Å) after each atom.
Fractional positions:
Co (0.2725, 0.2725, 0.6152)  4 Te 2.45-2.55, 4 Co 2.57-2.61
Co (0.6981, 0.6981, 0.4106)  5 Te 2.52-2.71, 3 Co 2.57-2.61
Co (0.6579, 0.6579, 0.9096)  3 Co 2.57, 4 Te 2.61-2.64
Te (0.0671, 0.0671, 0.7343)  5 Co 2.55-2.71
Te (0.8925, 0.8925, 0.4141)  3 Co 2.45-2.60
Te (0.2452, 0.2452, 0.0829)  5 Co 2.45-2.61

---

Co5Te3 | PBE | relaxed

ΔE to the lowest computed polymorph: 0.000 eV per atom
space-group type: Cmcm, No. 63
total energy: -5.443 eV per atom
ΔE_f (raw): 136 kJ/mol of formula units
size of the total moment: 0.414 μB/atom

Unit cell a=7.4753 b=7.4623 c=5.2163 alpha=90.00 beta=90.00 gamma=120.08
With the nearest neighbours (Å) after each atom.
Fractional positions:
Te (0.6940, 0.9999, 0.2500)  5 Co 2.42-2.65
Te (0.3058, 0.0002, 0.7500)  5 Co 2.42-2.65
Te (0.9993, 0.6946, 0.2500)  5 Co 2.42-2.65
Te (0.3046, 0.3052, 0.2500)  5 Co 2.42-2.65
Te (0.6956, 0.6951, 0.7500)  5 Co 2.42-2.65
Te (0.0007, 0.3052, 0.7500)  5 Co 2.42-2.65
Co (0.3334, 0.6669, 0.0000)  8 Co 2.61-2.70, 6 Te 2.90-2.92
Co (0.6666, 0.3332, 0.5000)  8 Co 2.61-2.70, 6 Te 2.90-2.92
Co (0.6666, 0.3332, 0.0000)  8 Co 2.61-2.70, 6 Te 2.90-2.92
Co (0.3334, 0.6669, 0.5000)  8 Co 2.61-2.70, 6 Te 2.90-2.92
Co (0.3705, 0.0000, 0.2500)  5 Te 2.42-2.65, 4 Co 2.70
Co (0.6293, 0.0000, 0.7500)  5 Te 2.42-2.65, 4 Co 2.69-2.70
Co (0.9999, 0.3710, 0.2500)  5 Te 2.42-2.65, 4 Co 2.70
Co (0.6288, 0.6290, 0.2500)  5 Te 2.42-2.65, 4 Co 2.70
Co (0.3714, 0.3713, 0.7500)  5 Te 2.42-2.65, 4 Co 2.70
Co (0.0002, 0.6289, 0.7500)  5 Te 2.42-2.65, 4 Co 2.70